[1]
# TbPa2Ru PBE-GGA relaxed
data_TbPa2Ru
_chemical_formula_sum 'Tb1 Pa2 Ru1'
_space_group_name_H-M_alt 'P 4/m m m'
_space_group_IT_number 123
_space_group_name_Hall '-P 4 2'
_cell_length_a 3.579
_cell_length_b 3.579
_cell_length_c 7.638
_cell_angle_alpha 90.00
_cell_angle_beta 90.00
_cell_angle_gamma 90.00
loop_
_atom_site_label
_atom_site_type_symbol
_atom_site_fract_x
_atom_site_fract_y
_atom_site_fract_z
_atom_site_occupancy
Tb1 Tb 0.000 0.000 0.000 1
Pa1 Pa 0.500 0.500 0.310 1
Ru1 Ru 0.000 0.000 0.500 1
# uncorrected energy: -8.282 eV per atom
# distance to the lowest polymorph of the same formula: 0 meV per atom
# density: 12.3 g cm⁻³

[2]
# LiSi2Os2 PBE-GGA relaxed
data_LiSi2Os2
_chemical_formula_sum 'Li2 Si4 Os4'
_space_group_name_H-M_alt 'I 4/m m m'
_space_group_IT_number 139
_space_group_name_Hall '-I 4 2'
_cell_length_a 3.878
_cell_length_b 3.878
_cell_length_c 10.635
_cell_angle_alpha 90.00
_cell_angle_beta 90.00
_cell_angle_gamma 90.00
loop_
_atom_site_label
_atom_site_type_symbol
_atom_site_fract_x
_atom_site_fract_y
_atom_site_fract_z
_atom_site_occupancy
Li1 Li 0.000 0.000 0.000 1
Si1 Si 0.000 0.500 0.250 1
Os1 Os 0.000 0.000 0.382 1
# ΔE_f (raw): -30 meV per atom
# uncorrected energy: -7.074 eV per atom
# density: 9.2 g cm⁻³

[3]
# LaPmHo2 PBE-GGA relaxed
data_LaPmHo2
_chemical_formula_sum 'La3 Pm3 Ho6'
_space_group_name_H-M_alt 'R 3 m'
_space_group_IT_number 160
_space_group_name_Hall 'R 3 -2"'
_cell_length_a 3.6311
_cell_length_b 3.6311
_cell_length_c 35.0222
_cell_angle_alpha 90.00
_cell_angle_beta 90.00
_cell_angle_gamma 120.00
loop_
_atom_site_label
_atom_site_type_symbol
_atom_site_fract_x
_atom_site_fract_y
_atom_site_fract_z
_atom_site_occupancy
La1 La 0.0000 0.0000 0.0000 1
Pm1 Pm 0.0000 0.0000 0.8340 1
Ho1 Ho 0.0000 0.0000 0.4172 1
Ho2 Ho 0.0000 0.0000 0.5828 1
# uncorrected energy: -4.690 eV per atom
# distance to the lowest polymorph of the same formula: 4 meV per atom
# density: 7.6 g cm⁻³

[4]
# LaPmAlGe PBE-GGA relaxed
data_LaPmAlGe
_chemical_formula_sum 'La4 Pm4 Al4 Ge4'
_space_group_name_H-M_alt 'F -4 3 m'
_space_group_IT_number 216
_space_group_name_Hall 'F -4 2 3'
_cell_length_a 7.474
_cell_length_b 7.474
_cell_length_c 7.474
_cell_angle_alpha 90.00
_cell_angle_beta 90.00
_cell_angle_gamma 90.00
loop_
_atom_site_label
_atom_site_type_symbol
_atom_site_fract_x
_atom_site_fract_y
_atom_site_fract_z
_atom_site_occupancy
La1 La 0.000 0.000 0.000 1
Pm1 Pm 0.000 0.000 0.500 1
Al1 Al 0.250 0.250 0.250 1
Ge1 Ge 0.250 0.250 0.750 1
# uncorrected energy: -4.971 eV per atom
# distance to the lowest polymorph of the same formula: 203 meV per atom
# density: 6.1 g cm⁻³

[5]
# Fe2CoTePt PBE-GGA relaxed
data_Fe2CoTePt
_chemical_formula_sum 'Fe2 Co1 Te1 Pt1'
_space_group_name_H-M_alt 'P 4/m m m'
_space_group_IT_number 123
_space_group_name_Hall '-P 4 2'
_cell_length_a 4.407
_cell_length_b 4.407
_cell_length_c 4.562
_cell_angle_alpha 90.00
_cell_angle_beta 90.00
_cell_angle_gamma 90.00
loop_
_atom_site_label
_atom_site_type_symbol
_atom_site_fract_x
_atom_site_fract_y
_atom_site_fract_z
_atom_site_occupancy
Fe1 Fe 0.000 0.500 0.000 1
Co1 Co 0.000 0.000 0.000 1
Te1 Te 0.000 0.000 0.500 1
Pt1 Pt 0.500 0.500 0.500 1
# ΔE_f (raw): 801 meV per atom
# uncorrected energy: -5.842 eV per atom
# density: 9.2 g cm⁻³

[6]
# Tl2ReTc PBE-GGA relaxed
data_Tl2ReTc
_chemical_formula_sum 'Tl4 Re2 Tc2'
_space_group_name_H-M_alt 'C m m m'
_space_group_IT_number 65
_space_group_name_Hall '-C 2 2'
_cell_length_a 3.095
_cell_length_b 5.178
_cell_length_c 9.492
_cell_angle_alpha 90.00
_cell_angle_beta 90.00
_cell_angle_gamma 90.00
loop_
_atom_site_label
_atom_site_type_symbol
_atom_site_fract_x
_atom_site_fract_y
_atom_site_fract_z
_atom_site_occupancy
Tl1 Tl 0.000 0.000 0.247 1
Re1 Re 0.000 0.500 0.500 1
Tc1 Tc 0.000 0.500 0.000 1
# uncorrected energy: -5.810 eV per atom
# distance to the lowest polymorph of the same formula: 666 meV per atom
# density: 15.1 g cm⁻³